1.
A geometry-optimized Pa2RuSe2N2 structure. Source: Alexandria, functional PBE.

a b c (Å): 3.881 3.881 11.508
angles (deg): 90.00 90.00 120.00
Sites, in units of the cell vectors:
N1 0.333 0.667 0.427
Se1 0.000 0.000 0.211
Pa1 0.667 0.333 0.374
Ru1 0.000 0.000 0.000
N2 0.667 0.333 0.573
Se2 0.000 0.000 0.789
Pa2 0.333 0.667 0.626

## Properties
Electronic total energy (eV per formula unit): -58.39
Space group: P-3m1 (164)

2.
A geometry-optimized CaGeP2O structure. Source: Alexandria, functional PBE.

a b c (Å): 5.301 5.301 4.154
angles (deg): 90.00 90.00 90.00
Sites, in units of the cell vectors:
Ge1 0.500 0.500 0.500
Ca1 0.000 0.000 0.000
P1 0.000 0.500 0.000
O1 0.000 0.000 0.500
P2 0.500 0.000 0.000

## Properties
Electronic total energy (eV per formula unit): -19.53
Energy relative to the lowest polymorph listed for this composition (eV/atom): 0.857
Space group: P4/mmm (123)

3.
A geometry-optimized TbTiInAg structure. Source: Alexandria, functional PBE.

a b c (Å): 5.014 5.014 5.014
angles (deg): 60.00 60.00 60.00
Sites, in units of the cell vectors:
Ti1 0.250 0.250 0.250
In1 0.000 0.000 0.000
Ag1 0.500 0.500 0.500
Tb1 0.750 0.750 0.750

## Properties
Electronic total energy (eV per formula unit): -18.64
DFT formation energy (eV/atom): -0.13
Space group: F-43m (216)

4.
A geometry-optimized Li2AcLaF8 structure. Source: Alexandria, functional PBE.

a b c (Å): 5.436 5.436 7.093
angles (deg): 112.53 112.53 90.00
Sites, in units of the cell vectors:
F1 0.605 0.687 0.663
Ac1 0.750 0.250 0.500
F2 0.420 0.302 0.153
F3 0.313 0.942 0.337
F4 0.058 0.976 0.663
F5 0.024 0.395 0.337
Li1 0.500 0.500 0.000
F6 0.733 0.851 0.153
Li2 0.250 0.750 0.500
F7 0.698 0.267 0.847
F8 0.149 0.580 0.847
La1 0.000 0.000 0.000

## Properties
Electronic total energy (eV per formula unit): -73.09
Space group: I-4 (82)

5.
A geometry-optimized Tc2IrSe structure. Source: Alexandria, functional PBE.

a b c (Å): 2.896 4.522 4.658
angles (deg): 90.00 90.00 90.00
Sites, in units of the cell vectors:
Tc1 0.000 0.000 0.000
Ir1 0.500 0.000 0.500
Tc2 0.500 0.500 0.000
Se1 0.000 0.500 0.500

## Properties
Electronic total energy (eV per formula unit): -31.14
Space group: Pmmm (47)

6.
A geometry-optimized Pa2SiPd structure. Source: Alexandria, functional PBE.

a b c (Å): 3.133 3.133 10.230
angles (deg): 81.19 81.19 60.00
Sites, in units of the cell vectors:
Pd1 0.000 0.000 0.000
Pa1 0.911 0.911 0.267
Si1 0.500 0.500 0.500
Pa2 0.089 0.089 0.733

## Properties
Electronic total energy (eV per formula unit): -29.68
Energy relative to the lowest polymorph listed for this composition (eV/atom): 0.444
Space group: R-3m (166)

7.
A geometry-optimized VReTe4 structure. Source: Alexandria, functional PBE.

a b c (Å): 3.460 7.929 6.227
angles (deg): 101.45 90.00 102.61
Sites, in units of the cell vectors:
Re1 0.506 0.013 0.433
Te1 0.905 0.810 0.634
Te2 0.365 0.731 0.100
Te3 0.596 0.191 0.873
V1 0.993 0.986 0.067
Te4 0.134 0.268 0.392

## Properties
Electronic total energy (eV per formula unit): -35.32
Space group: Cm (8)

8.
A geometry-optimized Hg2BiRu2 structure. Source: Alexandria, functional PBE.

a b c (Å): 8.326 8.326 3.027
angles (deg): 90.00 90.00 90.00
Sites, in units of the cell vectors:
Bi1 0.500 0.500 0.000
Hg1 0.682 0.182 0.000
Ru1 0.106 0.606 0.500
Hg2 0.818 0.682 0.000
Hg3 0.318 0.818 0.000
Bi2 0.000 0.000 0.000
Ru2 0.606 0.894 0.500
Hg4 0.182 0.318 0.000
Ru3 0.394 0.106 0.500
Ru4 0.894 0.394 0.500

## Properties
Electronic total energy (eV per formula unit): -19.52
DFT formation energy (eV/atom): 0.70
Energy relative to the lowest polymorph listed for this composition (eV/atom): 0.079
Space group: P4/mbm (127)

9.
A geometry-optimized Pu6NpGe6 structure. Source: Alexandria, functional PBE.

a b c (Å): 6.077 6.077 9.646
angles (deg): 90.00 90.00 123.92
Sites, in units of the cell vectors:
Ge1 0.386 0.614 0.500
Ge2 0.614 0.386 0.500
Ge3 0.299 0.701 0.000
Pu1 0.000 0.500 0.274
Pu2 0.500 0.500 0.786
Ge4 0.000 0.000 0.317
Pu3 0.500 0.000 0.726
Pu4 0.500 0.000 0.274
Pu5 0.000 0.500 0.726
Np1 0.000 0.000 0.000
Pu6 0.500 0.500 0.214
Ge5 0.000 0.000 0.683
Ge6 0.701 0.299 0.000

## Properties
Electronic total energy (eV per formula unit): -128.43
DFT formation energy (eV/atom): -0.14
Space group: Cmmm (65)

10.
A geometry-optimized ZrCdTe2N structure. Source: Alexandria, functional PBE.

a b c (Å): 5.827 5.827 4.035
angles (deg): 90.00 90.00 90.00
Sites, in units of the cell vectors:
Te1 0.500 0.000 0.000
Zr1 0.000 0.000 0.000
Te2 0.000 0.500 0.000
Cd1 0.500 0.500 0.500
N1 0.000 0.000 0.500

## Properties
Electronic total energy (eV per formula unit): -24.14
Energy relative to the lowest polymorph listed for this composition (eV/atom): 0.000
Space group: P4/mmm (123)

11.
A geometry-optimized SrZnSn structure. Source: Alexandria, functional PBE.

a b c (Å): 4.659 4.659 9.128
angles (deg): 90.00 90.00 120.00
Sites, in units of the cell vectors:
Sn1 0.667 0.333 0.495
Zn1 0.667 0.333 0.995
Sr1 0.000 0.000 0.245
Sr2 0.000 0.000 0.745
Zn2 0.333 0.667 0.495
Sn2 0.333 0.667 0.995

## Properties
Electronic total energy (eV per formula unit): -8.53
DFT formation energy (eV/atom): -0.52
Space group: P6_3/mmc (194)

12.
A geometry-optimized Te2PBr structure. Source: Alexandria, functional PBE.

a b c (Å): 7.655 7.655 6.832
angles (deg): 55.93 55.93 90.00
Sites, in units of the cell vectors:
Te1 0.375 0.440 0.750
P1 0.500 0.500 0.000
P2 0.250 0.750 0.500
Te2 0.560 0.125 0.250
Te3 0.190 0.625 0.250
Te4 0.875 0.810 0.750
Br1 0.000 0.000 0.000
Br2 0.750 0.250 0.500

## Properties
Electronic total energy (eV per formula unit): -12.59
Energy relative to the lowest polymorph listed for this composition (eV/atom): 0.109
Space group: I-42d (122)

13.
A geometry-optimized SrPmCuPt structure. Source: Alexandria, functional PBE.

a b c (Å): 5.133 5.133 5.133
angles (deg): 60.00 60.00 60.00
Sites, in units of the cell vectors:
Pm1 0.000 0.000 0.000
Cu1 0.250 0.250 0.250
Sr1 0.500 0.500 0.500
Pt1 0.750 0.750 0.750

## Properties
Electronic total energy (eV per formula unit): -18.50
DFT formation energy (eV/atom): -0.48
Space group: F-43m (216)